(1)
Material: AlGaAg3
Method: DFT, GGA-PBE
State: optimized geometry

Geometry as POSCAR:
```
AlGaAg3
1.0
4.931 0.000 0.000
0.000 4.931 0.000
0.000 0.000 4.931
Al Ga Ag
1 1 3
Cartesian
0.000 0.000 0.000
2.466 2.466 2.466
0.000 0.000 2.466
0.000 2.466 0.000
2.466 0.000 0.000
```

Calculated values
distance to the lowest polymorph of the same formula	0.456	eV per atom
size of the total moment	0.00	μB/cell
calculated formation energy	0.455	eV/atom
final energy	-2.610	eV per atom
DOS at the Fermi energy	2.673	states/eV per cell

(2)
Material: TaPdNO2
Method: DFT, GGA-PBE
State: optimized geometry

Geometry as POSCAR:
```
TaPdNO2
1.0
3.901 0.000 0.000
0.000 3.901 0.000
0.000 0.000 4.237
Ta Pd N O
1 1 1 2
Cartesian
0.000 0.000 0.000
1.951 1.951 2.119
0.000 0.000 2.119
0.000 1.951 0.000
1.951 0.000 0.000
```

Calculated values
size of the total moment	0.00	μB/cell
final energy	-7.922	eV per atom
DOS at the Fermi energy	3.315	states/eV per cell
formation energy (no corrections)	-4.3	eV per formula unit

(3)
Material: RbMn2InCl8
Method: DFT, GGA-PBE
State: optimized geometry

Geometry as POSCAR:
```
RbMn2InCl8
1.0
6.660 0.000 0.000
1.949 6.384 0.000
1.811 1.153 9.165
Rb Mn In Cl
1 2 1 8
Cartesian
0.000 0.000 0.000
4.267 3.028 1.847
6.153 4.509 7.318
0.906 0.576 4.582
2.776 4.547 2.659
4.017 5.160 6.885
3.423 1.357 3.065
5.371 2.955 8.895
5.049 4.582 0.270
6.997 6.180 6.100
6.403 2.377 2.280
7.644 2.990 6.505
```

Calculated values
size of the total moment	8.00	μB/cell
final energy	-4.186	eV per atom
DOS at the Fermi energy	0.075	states/eV per cell
formation energy (no corrections)	-13.4	eV per formula unit

(4)
Material: Na3LaTc
Method: DFT, GGA-PBE
State: optimized geometry

Geometry as POSCAR:
```
Na3LaTc
1.0
3.220 0.000 0.000
0.000 5.027 0.000
0.000 0.000 17.742
Na La Tc
6 2 2
Cartesian
0.000 0.000 0.000
0.000 2.513 8.871
1.610 1.232 5.738
1.610 1.282 14.610
1.610 3.745 14.610
1.610 3.795 5.738
0.000 0.000 11.434
0.000 2.513 2.563
1.610 0.000 2.836
1.610 2.513 11.707
```

Calculated values
distance to the lowest polymorph of the same formula	0.509	eV per atom
size of the total moment	0.00	μB/cell
calculated formation energy	0.544	eV/atom
final energy	-3.307	eV per atom
DOS at the Fermi energy	7.520	states/eV per cell

(5)
Material: SmErMgHg
Method: DFT, GGA-PBE
State: optimized geometry

Geometry as POSCAR:
```
SmErMgHg
1.0
7.534 0.000 0.000
0.000 7.534 0.000
0.000 0.000 7.534
Sm Er Mg Hg
4 4 4 4
Cartesian
0.000 0.000 0.000
0.000 3.767 3.767
3.767 0.000 3.767
3.767 3.767 0.000
0.000 0.000 3.767
0.000 3.767 0.000
3.767 0.000 0.000
3.767 3.767 3.767
1.883 1.883 1.883
1.883 5.650 5.650
5.650 1.883 5.650
5.650 5.650 1.883
1.883 1.883 5.650
1.883 5.650 1.883
5.650 1.883 1.883
5.650 5.650 5.650
```

Calculated values
distance to the lowest polymorph of the same formula	0.018	eV per atom
size of the total moment	0.01	μB/cell
calculated formation energy	-0.258	eV/atom
final energy	-3.053	eV per atom
DOS at the Fermi energy	18.405	states/eV per cell

(6)
Material: Fe2ReTe
Method: DFT, GGA-PBE
State: optimized geometry

Geometry as POSCAR:
```
Fe2ReTe
1.0
3.150 0.000 0.000
0.000 4.387 0.000
0.000 0.000 8.713
Fe Re Te
4 2 2
Cartesian
0.000 0.000 2.149
0.000 0.000 6.564
1.575 2.193 2.207
1.575 2.193 6.505
0.000 2.193 0.000
1.575 0.000 4.356
0.000 2.193 4.356
1.575 0.000 0.000
```

Calculated values
size of the total moment	9.63	μB/cell
final energy	-7.532	eV per atom
DOS at the Fermi energy	7.615	states/eV per cell
formation energy (no corrections)	2.4	eV per formula unit

(7)
Material: Pm12Pr7Al
Method: DFT, GGA-PBE
State: optimized geometry

Geometry as POSCAR:
```
Pm12Pr7Al
1.0
6.284 3.628 5.086
-6.284 3.628 5.086
0.000 -7.256 5.086
Pm Pr Al
12 7 1
Cartesian
-5.734 1.126 6.616
-3.842 -4.403 8.641
-1.986 -0.687 4.689
1.892 -5.529 6.616
1.588 -1.376 4.689
0.398 2.063 4.689
-0.398 -2.064 10.569
-1.588 1.376 10.569
-1.892 5.529 8.641
1.986 0.687 10.569
3.842 4.403 6.616
5.734 -1.126 8.641
-0.808 -3.388 6.737
-3.338 -0.994 8.521
-2.530 2.394 6.737
0.000 0.000 7.629
2.530 -2.394 8.521
3.338 0.994 6.737
0.808 3.388 8.521
0.000 0.000 0.000
```

Calculated values
size of the total moment	0.00	μB/cell
calculated formation energy	0.166	eV/atom
final energy	-4.544	eV per atom
DOS at the Fermi energy	29.007	states/eV per cell

(8)
Material: LaErAgAu
Method: DFT, GGA-PBE
State: optimized geometry

Geometry as POSCAR:
```
LaErAgAu
1.0
3.633 0.000 0.000
0.000 3.633 0.000
0.000 0.000 7.597
La Er Ag Au
1 1 1 1
Cartesian
0.000 0.000 0.000
0.000 0.000 3.705
1.817 1.817 5.428
1.817 1.817 2.099
```

Calculated values
distance to the lowest polymorph of the same formula	0.000	eV per atom
size of the total moment	0.01	μB/cell
calculated formation energy	-0.575	eV/atom
final energy	-4.480	eV per atom
DOS at the Fermi energy	1.789	states/eV per cell

(9)
Material: GePd3O
Method: DFT, GGA-PBE
State: optimized geometry

Geometry as POSCAR:
```
GePd3O
1.0
4.624 0.000 0.000
0.000 4.624 0.000
0.000 0.000 4.624
Ge Pd O
1 3 1
Cartesian
0.000 0.000 0.000
0.000 0.000 2.312
0.000 2.312 0.000
2.312 0.000 0.000
2.312 2.312 2.312
```

Calculated values
distance to the lowest polymorph of the same formula	0.751	eV per atom
size of the total moment	0.00	μB/cell
final energy	-4.262	eV per atom
DOS at the Fermi energy	2.498	states/eV per cell
formation energy (no corrections)	3.8	eV per formula unit

(10)
Material: ZrCd4I2
Method: DFT, GGA-PBE
State: optimized geometry

Geometry as POSCAR:
```
ZrCd4I2
1.0
5.965 0.000 0.000
0.000 5.965 0.000
0.000 0.000 16.146
Zr Cd I
2 8 4
Cartesian
0.000 0.000 0.000
2.983 2.983 8.073
0.000 0.000 2.957
0.000 0.000 13.189
0.000 2.983 0.000
0.000 2.983 8.073
2.983 0.000 0.000
2.983 0.000 8.073
2.983 2.983 5.116
2.983 2.983 11.030
0.000 0.000 5.847
0.000 0.000 10.299
2.983 2.983 2.226
2.983 2.983 13.920
```

Calculated values
size of the total moment	0.01	μB/cell
final energy	-1.901	eV per atom
DOS at the Fermi energy	9.301	states/eV per cell
formation energy (no corrections)	2.0	eV per formula unit

(11)
Material: Hf3NbRh
Method: DFT, GGA-PBE
State: optimized geometry

Geometry as POSCAR:
```
Hf3NbRh
1.0
4.917 0.000 0.000
0.000 4.917 0.000
0.000 0.000 4.917
Hf Nb Rh
3 1 1
Cartesian
0.000 0.000 2.459
0.000 2.459 0.000
2.459 0.000 0.000
2.459 2.459 2.459
0.000 0.000 0.000
```

Calculated values
distance to the lowest polymorph of the same formula	0.711	eV per atom
size of the total moment	0.49	μB/cell
calculated formation energy	0.521	eV/atom
final energy	-8.936	eV per atom
DOS at the Fermi energy	10.388	states/eV per cell

(12)
Material: CdAuBr2
Method: DFT, GGA-PBE
State: optimized geometry

Geometry as POSCAR:
```
CdAuBr2
1.0
6.309 0.000 0.000
0.000 6.309 0.000
0.000 0.000 13.730
Cd Au Br
4 4 8
Cartesian
0.000 0.000 0.000
0.000 3.155 3.432
3.155 0.000 10.297
3.155 3.155 6.865
0.000 0.000 6.865
0.000 3.155 10.297
3.155 0.000 3.432
3.155 3.155 0.000
1.458 1.577 8.581
1.577 4.613 12.013
1.577 4.851 5.149
1.696 1.577 1.716
4.613 4.732 1.716
4.732 1.458 5.149
4.732 1.696 12.013
4.851 4.732 8.581
```

Calculated values
distance to the lowest polymorph of the same formula	0.193	eV per atom
size of the total moment	0.00	μB/cell
final energy	-1.956	eV per atom
DOS at the Fermi energy	4.974	states/eV per cell
formation energy (no corrections)	-0.3	eV per formula unit

(13)
Material: PdS3Br
Method: DFT, GGA-PBE
State: optimized geometry

Geometry as POSCAR:
```
PdS3Br
1.0
4.730 0.000 0.000
0.000 4.730 0.000
0.000 0.000 4.730
Pd S Br
1 3 1
Cartesian
0.000 0.000 0.000
0.000 0.000 2.365
0.000 2.365 0.000
2.365 0.000 0.000
2.365 2.365 2.365
```

Calculated values
distance to the lowest polymorph of the same formula	0.800	eV per atom
size of the total moment	0.00	μB/cell
final energy	-3.118	eV per atom
DOS at the Fermi energy	8.368	states/eV per cell
formation energy (no corrections)	3.7	eV per formula unit

(14)
Material: CdP2Ir
Method: DFT, GGA-PBE
State: optimized geometry

Geometry as POSCAR:
```
CdP2Ir
1.0
3.893 0.000 0.000
0.000 3.324 0.000
-1.897 0.000 5.789
Cd P Ir
1 2 1
Cartesian
0.000 0.000 0.000
0.677 0.000 2.619
2.089 1.662 2.912
0.028 1.662 4.271
```

Calculated values
size of the total moment	0.00	μB/cell
calculated formation energy	0.024	eV/atom
final energy	-5.124	eV per atom
DOS at the Fermi energy	1.123	states/eV per cell

(15)
Material: HPdPb3
Method: DFT, GGA-PBE
State: optimized geometry

Geometry as POSCAR:
```
HPdPb3
1.0
4.791 0.000 0.000
0.000 4.791 0.000
0.000 0.000 4.791
H Pd Pb
1 1 3
Cartesian
0.000 0.000 0.000
2.396 2.396 2.396
0.000 0.000 2.396
0.000 2.396 0.000
2.396 0.000 0.000
```

Calculated values
distance to the lowest polymorph of the same formula	0.198	eV per atom
size of the total moment	0.00	μB/cell
final energy	-3.695	eV per atom
DOS at the Fermi energy	2.140	states/eV per cell

(16)
Material: EuCd11
Method: DFT, GGA-PBE
State: optimized geometry

Geometry as POSCAR:
```
EuCd11
1.0
-6.043 6.043 3.892
6.043 -6.043 3.892
6.043 6.043 -3.892
Eu Cd
2 22
Cartesian
6.043 3.022 0.973
0.000 3.022 2.919
0.000 0.000 0.000
3.022 3.022 -1.946
3.022 -3.022 1.946
4.587 -0.572 1.340
7.500 -0.572 1.340
6.043 -3.022 2.919
2.450 1.565 0.606
9.637 1.565 0.606
4.587 5.472 -1.340
1.457 -0.572 2.552
2.450 4.478 0.606
3.593 -1.565 4.498
0.000 6.043 0.000
2.450 7.608 -0.606
3.593 1.565 3.285
4.587 6.615 1.340
1.457 0.572 5.231
-3.593 4.478 3.285
3.593 4.478 3.285
0.000 9.065 0.973
-1.457 6.615 2.552
1.457 6.615 2.552
```

Calculated values
size of the total moment	14.39	μB/cell
calculated formation energy	-0.131	eV/atom
final energy	-1.826	eV per atom
DOS at the Fermi energy	26.413	states/eV per cell

(17)
Material: Tm2In3Br9
Method: DFT, GGA-PBE
State: optimized geometry

Geometry as POSCAR:
```
Tm2In3Br9
1.0
6.839 3.948 6.536
-6.839 3.948 6.536
0.000 -7.897 6.536
Tm In Br
4 6 18
Cartesian
0.000 0.000 2.922
0.000 0.000 6.882
0.000 0.000 12.725
0.000 0.000 16.686
-4.915 -0.616 8.170
-1.924 -4.564 11.438
2.991 -3.948 8.170
-2.991 3.948 11.438
1.924 4.564 8.170
4.915 0.616 11.438
-1.426 -5.929 8.337
-5.848 -1.729 11.270
-2.112 0.000 4.902
-1.426 -1.968 8.002
1.056 -1.829 4.902
-4.422 4.200 8.337
1.056 1.829 4.902
-2.417 0.251 11.605
-0.991 2.219 8.002
0.991 -2.219 11.605
2.417 -0.251 8.002
-1.056 -1.829 14.705
4.422 -4.200 11.270
-1.056 1.829 14.705
1.426 1.968 11.605
2.112 0.000 14.705
5.848 1.729 8.337
1.426 5.929 11.270
```

Calculated values
size of the total moment	0.00	μB/cell
final energy	-3.620	eV per atom
DOS at the Fermi energy	0.000	states/eV per cell
formation energy (no corrections)	-18.5	eV per formula unit

(18)
Material: MnIn3Au12
Method: DFT, GGA-PBE
State: optimized geometry

Geometry as POSCAR:
```
MnIn3Au12
1.0
4.209 0.000 0.000
0.000 4.209 0.000
0.000 0.000 16.806
Mn In Au
1 3 12
Cartesian
0.000 0.000 0.000
0.000 0.000 4.122
0.000 0.000 8.403
0.000 0.000 12.684
0.000 2.104 1.977
0.000 2.104 6.265
0.000 2.104 10.541
0.000 2.104 14.829
2.104 0.000 1.977
2.104 0.000 6.265
2.104 0.000 10.541
2.104 0.000 14.829
2.104 2.104 0.000
2.104 2.104 4.136
2.104 2.104 8.403
2.104 2.104 12.670
```

Calculated values
size of the total moment	4.46	μB/cell
calculated formation energy	-0.081	eV/atom
final energy	-3.625	eV per atom
DOS at the Fermi energy	5.965	states/eV per cell

(19)
Material: CoB2W
Method: DFT, GGA-PBE
State: optimized geometry

Geometry as POSCAR:
```
CoB2W
1.0
2.650 0.000 0.000
0.000 4.788 0.000
0.000 0.000 6.154
Co B W
2 4 2
Cartesian
0.000 0.000 0.000
0.000 2.394 3.077
0.000 0.846 1.864
0.000 1.548 4.941
0.000 3.240 4.941
0.000 3.943 1.864
1.325 0.000 3.708
1.325 2.394 0.631
```

Calculated values
distance to the lowest polymorph of the same formula	0.219	eV per atom
size of the total moment	0.00	μB/cell
calculated formation energy	-0.076	eV/atom
final energy	-8.430	eV per atom
DOS at the Fermi energy	5.374	states/eV per cell

(20)
Material: BaCoRe2
Method: DFT, GGA-PBE
State: optimized geometry

Geometry as POSCAR:
```
BaCoRe2
1.0
5.338 0.000 0.000
0.000 10.748 0.000
-1.128 0.000 2.620
Ba Co Re
2 2 4
Cartesian
0.000 0.000 0.000
2.669 5.374 0.000
0.000 5.374 0.000
2.669 0.000 0.000
0.771 2.687 1.310
0.771 8.061 1.310
3.440 2.687 1.310
3.440 8.061 1.310
```

Calculated values
distance to the lowest polymorph of the same formula	0.910	eV per atom
size of the total moment	3.87	μB/cell
calculated formation energy	1.407	eV/atom
final energy	-7.074	eV per atom
DOS at the Fermi energy	9.727	states/eV per cell

(21)
Material: PuPdPbO6
Method: DFT, GGA-PBE
State: optimized geometry

Geometry as POSCAR:
```
PuPdPbO6
1.0
5.383 0.000 0.000
-2.692 4.662 0.000
0.000 0.000 10.972
Pu Pd Pb O
2 2 2 12
Cartesian
0.000 3.108 2.743
2.692 1.554 8.229
0.000 3.108 8.229
2.692 1.554 2.743
0.000 0.000 0.000
0.000 0.000 5.486
-0.972 1.685 1.606
4.410 1.684 7.092
-1.718 2.978 3.880
3.663 2.977 9.367
-0.747 4.661 1.606
1.945 0.001 7.092
0.972 1.685 3.880
0.973 1.684 9.367
0.747 4.661 3.880
3.438 0.001 9.367
1.718 2.978 1.606
1.720 2.977 7.092
```

Calculated values
size of the total moment	4.01	μB/cell
final energy	-7.381	eV per atom
DOS at the Fermi energy	10.494	states/eV per cell
formation energy (no corrections)	-13.4	eV per formula unit

(22)
Material: Os2PdCl
Method: DFT, GGA-PBE
State: optimized geometry

Geometry as POSCAR:
```
Os2PdCl
1.0
6.203 0.000 0.000
0.000 6.203 0.000
0.000 0.000 6.203
Os Pd Cl
8 4 4
Cartesian
1.551 1.551 1.551
1.551 1.551 4.652
1.551 4.652 1.551
1.551 4.652 4.652
4.652 1.551 1.551
4.652 1.551 4.652
4.652 4.652 1.551
4.652 4.652 4.652
0.000 0.000 0.000
0.000 3.101 3.101
3.101 0.000 3.101
3.101 3.101 0.000
0.000 0.000 3.101
0.000 3.101 0.000
3.101 0.000 0.000
3.101 3.101 3.101
```

Calculated values
distance to the lowest polymorph of the same formula	0.000	eV per atom
size of the total moment	0.00	μB/cell
final energy	-6.040	eV per atom
DOS at the Fermi energy	21.690	states/eV per cell
formation energy (no corrections)	5.3	eV per formula unit

(23)
Material: Tb4Si2Br5
Method: DFT, GGA-PBE
State: optimized geometry

Geometry as POSCAR:
```
Tb4Si2Br5
1.0
11.328 -1.995 0.000
11.328 1.995 0.000
-0.709 0.000 8.124
Tb Si Br
4 2 5
Cartesian
0.184 0.000 2.324
7.270 0.000 4.494
14.678 0.000 3.630
21.764 0.000 5.800
9.872 0.000 3.716
12.076 0.000 4.407
3.052 0.000 1.566
4.380 0.000 5.483
11.328 0.000 0.000
17.568 0.000 2.641
18.896 0.000 6.558
```

Calculated values
size of the total moment	0.00	μB/cell
final energy	-4.704	eV per atom
DOS at the Fermi energy	4.624	states/eV per cell
formation energy (no corrections)	-14.0	eV per formula unit